Here is a relaxed structure of SrZrTe3 from the Alexandria database. Energies are from PBE.

Cell lengths 5.9321, 5.9321, 5.9321 Å; angles 90.00, 90.00, 90.00 degrees
Last column: nearest neighbours and their distance in Å.
Sites, in units of the cell vectors:
Te (0.0000, 0.0000, 0.5000)  2 Sr 2.97
Te (0.5000, 0.0000, 0.0000)  2 Sr 2.97
Sr (0.0000, 0.0000, 0.0000)  6 Te 2.97
Zr (0.5000, 0.5000, 0.5000)  12 Te 4.19
Te (0.0000, 0.5000, 0.0000)  2 Sr 2.97

## Properties
Fermi-level density of states = 23.837 states/eV/f.u.
space group = No. 221
calculated volume = 41.750 Å³ per atom
E above lowest polymorph = 1403 meV/atom
uncorrected formation energy = 0.51 eV per atom